Computed, not measured: a relaxed CsNaCd2In crystal at the GGA-PBE level of DFT.

Lattice parameters (Å, degrees): 5.769 5.769 6.076 90.00 90.00 90.00
Sites, in units of the cell vectors:
Cs  0.500  0.500  0.500
Cd  0.500  0.000  0.000
Cd  0.000  0.500  0.000
In  0.000  0.000  0.000
Na  0.000  0.000  0.500

theoretical density = 4.07 g cm⁻³
V = 40.45 A^3/atom
E_tot = -1.35 eV/atom
DFT formation energy = -5 meV/atom



Computed, not measured: a relaxed LiSiRhO4 crystal at the GGA-PBE level of DFT.

Lattice parameters (Å, degrees): 5.001 5.001 6.232 90.00 90.00 114.40
Sites, in units of the cell vectors:
O  0.217  0.266  0.750
O  0.257  0.743  0.469
O  0.783  0.734  0.250
O  0.743  0.257  0.969
O  0.743  0.257  0.531
O  0.734  0.783  0.750
O  0.266  0.217  0.250
O  0.257  0.743  0.031
Li  0.832  0.168  0.250
Li  0.168  0.832  0.750
Si  0.844  0.156  0.750
Si  0.156  0.844  0.250
Rh  0.500  0.500  0.000
Rh  0.500  0.500  0.500

theoretical density = 4.73 g cm⁻³
V = 10.14 A^3/atom
E_tot = -6.74 eV/atom
formation energy from raw total energies = -1.81 eV/atom



Computed, not measured: a relaxed SrRe2Tc crystal at the GGA-PBE level of DFT.

Lattice parameters (Å, degrees): 3.641 2.910 8.114 68.87 90.00 90.00
Sites, in units of the cell vectors:
Re  0.000  0.046  0.002
Re  0.500  0.312  0.172
Sr  0.000  0.482  0.499
Tc  0.500  0.659  0.827

theoretical density = 11.56 g cm⁻³
offset from the most stable computed form = 0 meV/atom
V = 20.05 A^3/atom
E_tot = -8.59 eV/atom
DFT formation energy = 650 meV/atom



Computed, not measured: a relaxed Tl2BiNCl crystal at the GGA-PBE level of DFT.

Lattice parameters (Å, degrees): 5.173 5.173 4.416 90.00 90.00 90.00
Sites, in units of the cell vectors:
Tl  0.500  0.000  0.000
Tl  0.000  0.500  0.000
Bi  0.500  0.500  0.500
N  0.000  0.000  0.000
Cl  0.000  0.000  0.500

theoretical density = 9.38 g cm⁻³
V = 23.64 A^3/atom
E_tot = -3.14 eV/atom
formation energy from raw total energies = 0.61 eV/atom



- Which of these has the highest theoretical density?
  SrRe2Tc



- What is the formula in the third record?
  SrRe2Tc



- Among the records above, which one has the lowest theoretical density?
  CsNaCd2In